Record 1
An optimized crystal structure of Pa3ZnNi4, computed with GGA-PBE.

Structure (POSCAR):
```
Pa3ZnNi4
1.0
4.1596 0.0000 0.0000
-0.0012 4.8667 0.0000
-2.0585 -0.2262 7.0242
Pa Zn Ni
3 1 4
Cartesian
0.0000 0.0000 0.0000
0.0117 3.3161 3.9936
2.0883 1.3244 3.0306
2.0792 2.4334 0.0000
0.0019 2.3789 1.3404
0.0171 0.6908 5.0933
2.0829 3.9497 1.9309
2.0980 2.2616 5.6838
```

Output
SG: P-1, No. 2
Polymorph energy (0 for the lowest one) (eV per formula unit): 0.00



Record 2
An optimized crystal structure of Cr2AgSn2, computed with GGA-PBE.

Structure (POSCAR):
```
Cr2AgSn2
1.0
7.5600 0.0000 0.0000
0.0000 7.5600 0.0000
0.0000 0.0000 3.1098
Cr Ag Sn
4 2 4
Cartesian
0.7574 3.0226 0.0000
3.0226 6.8026 0.0000
4.5374 0.7574 0.0000
6.8026 4.5374 0.0000
0.0000 0.0000 0.0000
3.7800 3.7800 0.0000
1.4192 5.1991 1.5549
2.3608 1.4192 1.5549
5.1991 6.1408 1.5549
6.1408 2.3608 1.5549
```

Output
SG: P4/mbm, No. 127
DFT total energy (eV/atom): -5.657



M_tot in μB/atom, matching the order above: 0.0000 0.0000
Calculated density in g cm⁻³, matching the order above: 11.6 8.4